A geometry-optimized Ca2Ge3BiPt4 structure. Source: Alexandria, functional PBE.

POSCAR file:
```
Ca2Ge3BiPt4
1.0
4.419 0.000 0.000
0.000 4.419 0.000
0.000 0.000 10.670
Ca Ge Bi Pt
2 3 1 4
direct
0.000 0.500 0.234 Ca
0.500 0.000 0.766 Ca
0.000 0.500 0.882 Ge
0.500 0.000 0.118 Ge
0.500 0.500 0.500 Ge
0.000 0.000 0.500 Bi
0.000 0.000 0.000 Pt
0.000 0.500 0.655 Pt
0.500 0.000 0.345 Pt
0.500 0.500 0.000 Pt
```

Results
- Calculated density: 10.26 g/cm³
- Final energy: -52.76 eV/cell



A geometry-optimized CaGeBiRh2 structure. Source: Alexandria, functional PBE.

POSCAR file:
```
CaGeBiRh2
1.0
4.641 0.000 0.000
0.000 4.641 0.000
0.000 0.000 5.368
Ca Ge Bi Rh
1 1 1 2
direct
0.000 0.000 0.000 Ca
0.000 0.000 0.500 Ge
0.500 0.500 0.000 Bi
0.000 0.500 0.500 Rh
0.500 0.000 0.500 Rh
```

Results
- Calculated density: 7.57 g/cm³
- Final energy: -25.02 eV/cell



A geometry-optimized CaGeBi2W structure. Source: Alexandria, functional PBE.

POSCAR file:
```
CaGeBi2W
1.0
5.628 0.000 0.000
0.000 5.628 0.000
0.000 0.000 4.816
Ca Ge Bi W
1 1 2 1
direct
0.000 0.000 0.000 Ca
0.500 0.500 0.500 Ge
0.000 0.500 0.500 Bi
0.500 0.000 0.500 Bi
0.500 0.500 0.000 W
```

Results
- Calculated density: 7.78 g/cm³
- Final energy: -23.63 eV/cell



A geometry-optimized Ca2BiH2 structure. Source: Alexandria, functional PBE.

POSCAR file:
```
Ca2BiH2
1.0
3.728 0.000 0.000
0.000 3.728 0.000
0.000 0.000 7.259
Ca Bi H
2 1 2
direct
0.000 0.000 0.207 Ca
0.000 0.000 0.793 Ca
0.500 0.500 0.500 Bi
0.000 0.500 0.000 H
0.500 0.000 0.000 H
```

Results
- Calculated density: 4.79 g/cm³
- Excess energy over the best structure of this formula in the dataset: 16.8 kJ/mol of atoms
- Final energy: -17.27 eV/cell



A geometry-optimized CaBiH3 structure. Source: Alexandria, functional PBE.

POSCAR file:
```
CaBiH3
1.0
4.173 0.000 0.000
0.000 4.173 0.000
0.000 0.000 4.173
Ca Bi H
1 1 3
direct
0.000 0.000 0.000 Ca
0.500 0.500 0.500 Bi
0.000 0.000 0.500 H
0.000 0.500 0.000 H
0.500 0.000 0.000 H
```

Results
- Calculated density: 5.76 g/cm³
- Excess energy over the best structure of this formula in the dataset: 0.0 kJ/mol of atoms
- Final energy: -15.00 eV/cell



A geometry-optimized Ca2BiH2 structure. Source: Alexandria, functional PBE.

POSCAR file:
```
Ca2BiH2
1.0
7.798 0.000 0.000
0.000 7.798 0.000
0.000 0.000 3.259
Ca Bi H
4 2 4
direct
0.142 0.358 0.000 Ca
0.358 0.858 0.000 Ca
0.642 0.142 0.000 Ca
0.858 0.642 0.000 Ca
0.000 0.000 0.500 Bi
0.500 0.500 0.500 Bi
0.095 0.595 0.500 H
0.405 0.095 0.500 H
0.595 0.905 0.500 H
0.905 0.405 0.500 H
```

Results
- Calculated density: 4.88 g/cm³
- Excess energy over the best structure of this formula in the dataset: 39.7 kJ/mol of atoms
- Final energy: -32.16 eV/cell